Computed, not measured: an optimized crystal structure of Tb12ZnCo5 at the PBE level of DFT.

formation enthalpy at 0 K	-179	meV/atom
symmetry	Immm (71)
magnetic moment	0.0000	μB per atom

a b c (Å): 8.2711 8.2711 8.2711
angles (deg): 107.71 110.69 110.02
With the nearest neighbours (Å) after each atom.
Atoms (fractional coordinates):
1 Tb 0.3028 0.3168 0.6196  3 Co 2.71-2.83
2 Tb 0.6972 0.6832 0.3804  3 Co 2.71-2.83
3 Zn 0.0000 0.5000 0.5000  12 Tb 3.36-3.58
4 Tb 0.6972 0.3168 0.0140  3 Co 2.71-2.83
5 Tb 0.1919 0.9823 0.7903  2 Co 2.69-2.74
6 Co 0.5000 0.1138 0.6138  1 Co 2.22
7 Tb 0.8927 0.1845 0.7081  2 Co 2.85
8 Tb 0.8081 0.0177 0.2097  2 Co 2.69-2.74
9 Co 0.5000 0.8862 0.3862  1 Co 2.22
10 Tb 0.5236 0.8155 0.7081  2 Co 2.85
11 Co 0.3766 0.3766 0.0000  1 Co 2.34
12 Co 0.6234 0.6234 0.0000  1 Co 2.34
13 Co 0.0000 0.0000 0.0000  4 Tb 2.74
14 Tb 0.3028 0.6832 0.9860  3 Co 2.71-2.83
15 Tb 0.8081 0.5984 0.7903  2 Co 2.69-2.74
16 Tb 0.4764 0.1845 0.2919  2 Co 2.85
17 Tb 0.1919 0.4016 0.2097  2 Co 2.69-2.74
18 Tb 0.1073 0.8155 0.2919  2 Co 2.85